1.
The following is a PBE calculation of crystalline NaLi2Cd2Pb2 at its relaxed geometry, from the Alexandria database.

abc: 8.6664 8.6664 8.6664
angles: 33.09 33.09 33.09
Positions (direct):
Na1 0.0000 0.0000 0.0000
Li1 0.1387 0.1387 0.1387
Li2 0.8613 0.8613 0.8613
Cd1 0.4394 0.4394 0.4394
Cd2 0.5606 0.5606 0.5606
Pb1 0.2655 0.2655 0.2655
Pb2 0.7345 0.7345 0.7345

Summary:
Space-group type: R-3m
Uncorrected energy in eV/atom: -2.22
DOS at the Fermi energy in states/eV/f.u.: 3.0
Formation energy in eV per atom: -0.1624
Size of the total moment in Bohr magnetons per cell: 0.0

***

2.
The following is a PBE calculation of crystalline Er4Zn3Ir at its relaxed geometry, from the Alexandria database.

abc: 3.5128 3.5128 13.9535
angles: 90.00 90.00 90.00
Positions (direct):
Er1 0.0000 0.0000 0.1143
Er2 0.0000 0.0000 0.3724
Er3 0.0000 0.0000 0.6276
Er4 0.0000 0.0000 0.8857
Zn1 0.5000 0.5000 0.2480
Zn2 0.5000 0.5000 0.5000
Zn3 0.5000 0.5000 0.7520
Ir1 0.5000 0.5000 0.0000

Summary:
Space-group type: P4/mmm
Uncorrected energy in eV/atom: -4.37
DOS at the Fermi energy in states/eV/f.u.: 6.1
Formation energy in eV per atom: -0.5070
Size of the total moment in Bohr magnetons per cell: 0.0

***

3.
The following is a PBE calculation of crystalline Pr6Sm2Ho3 at its relaxed geometry, from the Alexandria database.

abc: 17.5838 17.5838 17.5838
angles: 164.35 164.35 22.21
Positions (direct):
Pr1 0.1206 0.6206 0.5000
Pr2 0.2072 0.2072 0.0000
Pr3 0.3794 0.8794 0.5000
Pr4 0.6206 0.1206 0.5000
Pr5 0.7928 0.7928 0.0000
Pr6 0.8794 0.3794 0.5000
Sm1 0.0446 0.0446 0.0000
Sm2 0.9554 0.9554 0.0000
Ho1 0.3066 0.3066 0.0000
Ho2 0.5000 0.5000 0.0000
Ho3 0.6934 0.6934 0.0000

Summary:
Space-group type: I4/mmm
Uncorrected energy in eV/atom: -4.42
DOS at the Fermi energy in states/eV/f.u.: 16.0
Polymorph energy (0 for the lowest one) in eV/atom: 0.2731
Formation energy in eV per atom: 0.2894
Size of the total moment in Bohr magnetons per cell: 0.0

***

4.
The following is a PBE calculation of crystalline Ca5PmBi4 at its relaxed geometry, from the Alexandria database.

abc: 9.1181 9.1181 7.9289
angles: 94.49 94.49 32.97
Positions (direct):
Ca1 0.0000 0.0000 0.0000
Ca2 0.3288 0.3288 0.4985
Ca3 0.3403 0.3403 0.0170
Ca4 0.6597 0.6597 0.9830
Ca5 0.6712 0.6712 0.5015
Pm1 0.0000 0.0000 0.5000
Bi1 0.1828 0.1828 0.7450
Bi2 0.4750 0.4750 0.7520
Bi3 0.5250 0.5250 0.2480
Bi4 0.8172 0.8172 0.2550

Summary:
Space-group type: C2/m
Uncorrected energy in eV/atom: -3.76
DOS at the Fermi energy in states/eV/f.u.: 4.2
Formation energy in eV per atom: -0.7348
Size of the total moment in Bohr magnetons per cell: 0.0

***

5.
The following is a PBE calculation of crystalline Zn2AsSe at its relaxed geometry, from the Alexandria database.

abc: 5.1012 5.1012 5.1012
angles: 138.05 108.85 86.17
Positions (direct):
Zn1 0.2501 0.2501 0.0000
Zn2 0.7499 0.7499 0.0000
As1 0.5000 0.0000 0.5000
Se1 0.0000 0.5000 0.5000

Summary:
ΔE_f (raw) in eV/f.u.: 0.5
Space-group type: Immm
Uncorrected energy in eV/atom: -2.54
DOS at the Fermi energy in states/eV/f.u.: 1.8
Size of the total moment in Bohr magnetons per cell: 0.0

***

6.
The following is a PBE calculation of crystalline ScBe2 at its relaxed geometry, from the Alexandria database.

abc: 5.3996 5.3996 5.3996
angles: 133.69 133.69 67.57
Positions (direct):
Sc1 0.2500 0.2500 0.0000
Sc2 0.7500 0.7500 0.0000
Be1 0.1680 0.6680 0.8359
Be2 0.3320 0.1680 0.5000
Be3 0.6680 0.8320 0.5000
Be4 0.8320 0.3320 0.1641

Summary:
Space-group type: I4/mcm
Uncorrected energy in eV/atom: -4.48
DOS at the Fermi energy in states/eV/f.u.: 1.6
Formation energy in eV per atom: 0.1102
Size of the total moment in Bohr magnetons per cell: 1.2